Below is an optimized crystal structure of LaIn2Rh, with properties calculated at the PBE-GGA level.

abc: 4.728 4.904 4.908
angles: 66.22 90.00 90.00
Positions (direct):
La (0.500, 0.000, 0.500)
In (0.000, 0.325, 0.825)
In (0.000, 0.675, 0.175)
Rh (0.500, 0.500, 0.000)

Computed properties:
Density of states at the Fermi level = 3.2 states/eV per cell
Uncorrected energy = -4.954 eV per atom
SG = No. 65